Entry 1:
# Ac5HoCd4 PBE-GGA optimized geometry
# DOS(E_F): 13.0 states/eV/f.u.
# E_tot: -30.918 eV/f.u.
data_Ac5HoCd4
_chemical_formula_sum 'Ac5 Ho1 Cd4'
_cell_length_a 4.047
_cell_length_b 4.047
_cell_length_c 21.295
_cell_angle_alpha 90.00
_cell_angle_beta 90.00
_cell_angle_gamma 90.00
_symmetry_space_group_name_H-M 'P 4/m m m'
_symmetry_Int_Tables_number 123
_symmetry_space_group_name_Hall '-P 4 2'
loop_
_atom_site_label
_atom_site_fract_x
_atom_site_fract_y
_atom_site_fract_z
Ac1 0.000 0.000 0.000
Ac2 0.000 0.000 0.193
Ac3 0.000 0.000 0.386
Ho1 0.500 0.500 0.500
Cd1 0.500 0.500 0.096
Cd2 0.500 0.500 0.292

---

Entry 2:
# AcHo2Cd PBE-GGA optimized geometry
# DOS(E_F): 5.1 states/eV/f.u.
# E_tot: -14.210 eV/f.u.
# excess energy over the best structure of this formula in the dataset: 107 meV per atom
data_AcHo2Cd
_chemical_formula_sum 'Ac3 Ho6 Cd3'
_cell_length_a 3.7144
_cell_length_b 3.7144
_cell_length_c 32.9436
_cell_angle_alpha 90.00
_cell_angle_beta 90.00
_cell_angle_gamma 120.00
_symmetry_space_group_name_H-M 'R 3 m'
_symmetry_Int_Tables_number 160
_symmetry_space_group_name_Hall 'R 3 -2"'
loop_
_atom_site_label
_atom_site_fract_x
_atom_site_fract_y
_atom_site_fract_z
Ac1 0.0000 0.0000 0.0000
Ho1 0.0000 0.0000 0.5723
Ho2 0.0000 0.0000 0.7607
Cd1 0.0000 0.0000 0.1662

---

Entry 3:
# AcHo3Cd2 PBE-GGA optimized geometry
# DOS(E_F): 7.9 states/eV/f.u.
# E_tot: -20.786 eV/f.u.
# excess energy over the best structure of this formula in the dataset: 0 meV per atom
data_AcHo3Cd2
_chemical_formula_sum 'Ac1 Ho3 Cd2'
_cell_length_a 3.743
_cell_length_b 3.743
_cell_length_c 12.757
_cell_angle_alpha 90.00
_cell_angle_beta 90.00
_cell_angle_gamma 90.00
_symmetry_space_group_name_H-M 'P 4/m m m'
_symmetry_Int_Tables_number 123
_symmetry_space_group_name_Hall '-P 4 2'
loop_
_atom_site_label
_atom_site_fract_x
_atom_site_fract_y
_atom_site_fract_z
Ac1 0.000 0.000 0.000
Ho1 0.500 0.500 0.210
Ho2 0.500 0.500 0.500
Cd1 0.000 0.000 0.355

---

Entry 4:
# AcHo2Cd9 PBE-GGA optimized geometry
# DOS(E_F): 8.5 states/eV/f.u.
# E_tot: -24.404 eV/f.u.
data_AcHo2Cd9
_chemical_formula_sum 'Ac3 Ho6 Cd27'
_cell_length_a 6.0236
_cell_length_b 6.0236
_cell_length_c 28.5900
_cell_angle_alpha 90.00
_cell_angle_beta 90.00
_cell_angle_gamma 120.00
_symmetry_space_group_name_H-M 'R -3 m'
_symmetry_Int_Tables_number 166
_symmetry_space_group_name_Hall '-R 3 2"'
loop_
_atom_site_label
_atom_site_fract_x
_atom_site_fract_y
_atom_site_fract_z
Ac1 0.0000 0.0000 0.0000
Ho1 0.0000 0.0000 0.1443
Cd1 0.0000 0.0000 0.3356
Cd2 0.0000 0.0000 0.5000
Cd3 0.0093 0.5047 0.9135

---

Entry 5:
# AcHo5Cd6 PBE-GGA optimized geometry
# DOS(E_F): 14.1 states/eV/f.u.
# E_tot: -35.909 eV/f.u.
data_AcHo5Cd6
_chemical_formula_sum 'Ac2 Ho10 Cd12'
_cell_length_a 5.319
_cell_length_b 7.668
_cell_length_c 15.999
_cell_angle_alpha 90.00
_cell_angle_beta 90.00
_cell_angle_gamma 90.00
_symmetry_space_group_name_H-M 'I m m m'
_symmetry_Int_Tables_number 71
_symmetry_space_group_name_Hall '-I 2 2'
loop_
_atom_site_label
_atom_site_fract_x
_atom_site_fract_y
_atom_site_fract_z
Ac1 0.000 0.000 0.000
Ho1 0.000 0.000 0.331
Ho2 0.000 0.500 0.000
Ho3 0.000 0.500 0.337
Cd1 0.000 0.224 0.500
Cd2 0.000 0.264 0.173

---

Entry 6:
# AcHo2Cd PBE-GGA optimized geometry
# DOS(E_F): 6.8 states/eV/f.u.
# E_tot: -13.790 eV/f.u.
# excess energy over the best structure of this formula in the dataset: 212 meV per atom
data_AcHo2Cd
_chemical_formula_sum 'Ac4 Ho8 Cd4'
_cell_length_a 7.923
_cell_length_b 7.923
_cell_length_c 7.923
_cell_angle_alpha 90.00
_cell_angle_beta 90.00
_cell_angle_gamma 90.00
_symmetry_space_group_name_H-M 'F m -3 m'
_symmetry_Int_Tables_number 225
_symmetry_space_group_name_Hall '-F 4 2 3'
loop_
_atom_site_label
_atom_site_fract_x
_atom_site_fract_y
_atom_site_fract_z
Ac1 0.000 0.000 0.000
Ho1 0.250 0.250 0.250
Cd1 0.000 0.000 0.500

---

Entry 7:
# AcHoCd6 PBE-GGA optimized geometry
# DOS(E_F): 3.6 states/eV/f.u.
# E_tot: -16.123 eV/f.u.
# excess energy over the best structure of this formula in the dataset: 0 meV per atom
data_AcHoCd6
_chemical_formula_sum 'Ac2 Ho2 Cd12'
_cell_length_a 4.963
_cell_length_b 7.411
_cell_length_c 11.345
_cell_angle_alpha 90.00
_cell_angle_beta 90.00
_cell_angle_gamma 90.00
_symmetry_space_group_name_H-M 'A m m 2'
_symmetry_Int_Tables_number 38
_symmetry_space_group_name_Hall 'A 2 -2'
loop_
_atom_site_label
_atom_site_fract_x
_atom_site_fract_y
_atom_site_fract_z
Ac1 0.000 0.000 0.000
Ho1 0.500 0.000 0.723
Cd1 0.000 0.000 0.543
Cd2 0.000 0.216 0.268
Cd3 0.500 0.000 0.202
Cd4 0.500 0.204 0.453

---

Entry 8:
# AcHo3Cd4 PBE-GGA optimized geometry
# DOS(E_F): 8.7 states/eV/f.u.
# E_tot: -23.710 eV/f.u.
data_AcHo3Cd4
_chemical_formula_sum 'Ac2 Ho6 Cd8'
_cell_length_a 10.726
_cell_length_b 7.761
_cell_length_c 5.363
_cell_angle_alpha 90.00
_cell_angle_beta 90.00
_cell_angle_gamma 90.00
_symmetry_space_group_name_H-M 'P m m a'
_symmetry_Int_Tables_number 51
_symmetry_space_group_name_Hall '-P 2a 2a'
loop_
_atom_site_label
_atom_site_fract_x
_atom_site_fract_y
_atom_site_fract_z
Ac1 0.000 0.000 0.000
Ho1 0.000 0.500 0.000
Ho2 0.250 0.000 0.499
Ho3 0.250 0.500 0.499
Cd1 0.000 0.272 0.500
Cd2 0.250 0.272 0.999

---

Entry 9:
# Ac5HoCd6 PBE-GGA optimized geometry
# DOS(E_F): 14.4 states/eV/f.u.
# E_tot: -33.966 eV/f.u.
data_Ac5HoCd6
_chemical_formula_sum 'Ac10 Ho2 Cd12'
_cell_length_a 5.666
_cell_length_b 8.043
_cell_length_c 17.084
_cell_angle_alpha 90.00
_cell_angle_beta 90.00
_cell_angle_gamma 90.00
_symmetry_space_group_name_H-M 'I m m m'
_symmetry_Int_Tables_number 71
_symmetry_space_group_name_Hall '-I 2 2'
loop_
_atom_site_label
_atom_site_fract_x
_atom_site_fract_y
_atom_site_fract_z
Ac1 0.000 0.000 0.000
Ac2 0.000 0.000 0.327
Ac3 0.000 0.500 0.336
Ho1 0.000 0.500 0.000
Cd1 0.000 0.220 0.500
Cd2 0.000 0.266 0.158

---

Entry 10:
# AcHo2Cd PBE-GGA optimized geometry
# DOS(E_F): 5.7 states/eV/f.u.
# E_tot: -13.594 eV/f.u.
# excess energy over the best structure of this formula in the dataset: 261 meV per atom
data_AcHo2Cd
_chemical_formula_sum 'Ac3 Ho6 Cd3'
_cell_length_a 3.5805
_cell_length_b 3.5805
_cell_length_c 36.0735
_cell_angle_alpha 90.00
_cell_angle_beta 90.00
_cell_angle_gamma 120.00
_symmetry_space_group_name_H-M 'R -3 m'
_symmetry_Int_Tables_number 166
_symmetry_space_group_name_Hall '-R 3 2"'
loop_
_atom_site_label
_atom_site_fract_x
_atom_site_fract_y
_atom_site_fract_z
Ac1 0.0000 0.0000 0.0000
Ho1 0.0000 0.0000 0.0989
Cd1 0.0000 0.0000 0.5000

---

Entry 11:
# Ac2HoCd4 PBE-GGA optimized geometry
# DOS(E_F): 5.8 states/eV/f.u.
# E_tot: -17.551 eV/f.u.
data_Ac2HoCd4
_chemical_formula_sum 'Ac4 Ho2 Cd8'
_cell_length_a 5.554
_cell_length_b 5.554
_cell_length_c 14.681
_cell_angle_alpha 90.00
_cell_angle_beta 90.00
_cell_angle_gamma 90.00
_symmetry_space_group_name_H-M 'I 4/m m m'
_symmetry_Int_Tables_number 139
_symmetry_space_group_name_Hall '-I 4 2'
loop_
_atom_site_label
_atom_site_fract_x
_atom_site_fract_y
_atom_site_fract_z
Ac1 0.000 0.000 0.237
Ho1 0.000 0.000 0.500
Cd1 0.000 0.500 0.103

---

Entry 12:
# AcHoCd6 PBE-GGA optimized geometry
# DOS(E_F): 3.6 states/eV/f.u.
# E_tot: -16.097 eV/f.u.
# excess energy over the best structure of this formula in the dataset: 3 meV per atom
data_AcHoCd6
_chemical_formula_sum 'Ac1 Ho1 Cd6'
_cell_length_a 5.241
_cell_length_b 7.380
_cell_length_c 5.246
_cell_angle_alpha 90.00
_cell_angle_beta 90.00
_cell_angle_gamma 90.00
_symmetry_space_group_name_H-M 'P m m 2'
_symmetry_Int_Tables_number 25
_symmetry_space_group_name_Hall 'P 2 -2'
loop_
_atom_site_label
_atom_site_fract_x
_atom_site_fract_y
_atom_site_fract_z
Ac1 0.000 0.000 0.000
Ho1 0.500 0.500 0.497
Cd1 0.000 0.271 0.500
Cd2 0.000 0.500 0.000
Cd3 0.500 0.000 0.499
Cd4 0.500 0.271 0.997

---

What is the E_tot in the ninth record? -33.966 eV/f.u.